No. 1
80
Lattice="15.8881 0.0000 0.0000 -5.2960 14.9795 0.0000 -5.2960 -7.4897 12.9726" Properties=species:S:1:pos:R:3 comment="Li3Au5I12, relaxed, DFT PBE" energy_ev_per_atom=-2.3225 sg="Ia-3d, No. 230" pbc="T T T"
Li 3.9720 8.4260 8.1079
I 3.5496 5.2139 0.2463
Au 1.3240 4.6811 11.3510
Li 1.3240 -0.9362 4.8647
I 11.3840 -2.7427 8.4461
I -3.4399 2.7427 8.4461
I 6.1976 1.3513 11.1248
Li 3.9720 0.0000 9.7295
Au 2.6480 3.7449 6.4863
Au -1.3240 3.7449 3.2432
I 3.8421 -2.4065 4.3922
Li -6.6201 7.4897 9.7295
Au 6.6201 3.7449 9.7295
I 1.0845 1.3397 6.7326
Au 3.9720 11.2346 3.2432
Au 5.2960 -3.7449 6.4863
I -3.4399 -5.2914 12.8606
Au 1.3240 -3.7449 9.7295
Au -1.3240 0.9362 8.1079
Au -2.6480 7.4897 0.0000
Au 3.9720 2.8087 1.6216
I -1.0845 6.0738 11.0128
I -4.5042 5.2914 12.8606
I 6.1976 -2.2759 12.7263
Li -1.3240 6.5535 8.1079
Li -3.9720 -2.8087 11.3510
I 7.0425 6.5651 2.0941
I 1.7465 2.2759 12.7263
Li 11.9161 0.0000 3.2432
Au 5.2960 7.4897 0.0000
I 6.8596 -1.3397 6.7326
I 6.4902 8.7519 6.5983
Au -5.2960 3.7449 6.4863
I -1.0845 -4.7342 8.6924
Au -2.6480 -3.7449 6.4863
I 11.4937 8.4144 2.0941
Au 6.6201 6.5535 4.8647
I -1.7465 0.9246 10.8785
Li 9.2681 4.6811 1.6216
I 0.7919 4.9410 4.6385
I 9.0285 -6.0738 11.0128
I 4.1019 2.4065 4.3922
Au -1.3240 12.1708 1.6216
I 6.7500 6.3454 10.7665
Au 7.9441 0.0000 0.0000
I -6.0879 10.2324 4.5265
Au 0.0000 0.0000 0.0000
Au 6.6201 -4.6811 11.3510
I 6.3805 12.2239 4.2802
I -3.8421 6.2276 6.5983
I -6.8596 4.7342 8.6924
Li -3.9720 2.8087 11.3510
I 8.7360 4.7470 4.5265
I 9.8002 2.1983 0.1120
I 1.4539 9.8962 8.5804
I -0.9015 9.7656 0.2463
I -1.1941 -1.2621 6.3743
Li 9.2681 10.2984 1.6216
I -0.9016 6.1385 1.8478
I 9.3980 -1.1444 2.2061
I 12.1557 2.7556 4.2802
I 3.5496 8.8410 1.8478
I -4.1019 8.6341 10.7665
I 4.2116 6.1501 6.2400
I -1.4539 1.1444 2.2061
Li 6.6201 0.9362 4.8647
I 3.4399 -2.5487 8.3341
I 4.5041 2.5487 8.3341
I 1.8561 10.0384 4.6385
I -3.7325 13.5636 1.9598
I 8.7360 12.7811 0.1120
I -6.1976 -0.9246 10.8785
Li 1.3240 7.4897 3.2432
I 1.1941 5.0833 8.5804
I 1.7465 -1.3512 11.1248
Au -3.9720 8.4260 4.8647
I -1.5636 8.8294 6.2400
Au 9.2681 -0.9362 8.1079
I 6.3805 1.4159 1.9598
I 9.1382 1.2621 6.3743

***

No. 2
5
Lattice="-3.8506 -1.1824 -3.7149 3.1081 -1.1324 -2.8612 -0.1883 -5.1590 1.8372" Properties=species:S:1:pos:R:3 comment="Ca2RePRu, relaxed, DFT PBE" energy_ev_per_atom=-5.4138 sg="P4/mmm, No. 123" delta_e_f_ev_per_fu=4.068 pbc="T T T"
Ru 0.0000 0.0000 0.0000
Ca -1.9253 -0.5912 -1.8575
P 1.5540 -0.5662 -1.4306
Re -0.4655 -3.7369 -2.3695
Ca -0.0942 -2.5795 0.9186

***

No. 3
12
Lattice="-2.9421 -5.5291 3.4270 1.3232 -0.4322 -7.0024 6.8539 -0.5217 2.5481" Properties=species:S:1:pos:R:3 comment="Er6Te3PtS2, relaxed, DFT PBE" energy_ev_per_atom=-5.7608 sg="C2/m, No. 12" pbc="T T T"
Te 1.2170 -4.9151 2.9108
S -1.5171 -3.8263 -0.0574
Er 0.2678 -4.5517 -2.1149
Er 1.7699 -0.6656 -1.9935
Te 2.6175 -3.2415 -0.5137
Pt 0.0000 0.0000 0.0000
Er 0.3784 -2.3284 1.4089
Te 4.0180 -1.5680 -3.9382
S -0.1018 -2.1351 -3.5181
Er 3.4651 -5.8175 0.9662
Er 4.9671 -1.9314 1.0876
Er 4.8566 -4.1547 -2.4363

***

no.,N(E_F) (states/eV per atom)
1,0.43
2,0.90
3,0.32